## LaMn2Ag (PBE)

Data for LaMn2Ag after structural relaxation.

Cell lengths 3.4499, 5.0444, 4.8038 Å; angles 90.00, 90.00, 90.00 degrees
Positions (direct):
Ag 0.5000 0.0000 0.5000
La 0.0000 0.5000 0.5000
Mn 0.0000 0.0000 0.0000
Mn 0.5000 0.5000 0.0000

**Mass density**: 7.08 g/cm³
**Volume**: 83.6 Å³/cell
**Formation enthalpy at 0 K**: 389 meV per atom